ZnRe2RhI | PBE-GGA | optimized geometry

Output
Magnetic moment: 2.752 μB/f.u.
Formation energy without anion corrections: 2.48 eV per atom

POSCAR file:
```
ZnRe2RhI
1.0
4.596 0.000 0.000
0.000 4.596 0.000
0.000 0.000 4.979
Zn Re Rh I
1 2 1 1
Direct
0.000 0.000 0.000
0.000 0.500 0.000
0.500 0.000 0.000
0.500 0.500 0.500
0.000 0.000 0.500
```